1.
Here is a relaxed structure of HgPdBr3 from Alexandria via LeMat-Bulk. Energies are from GGA-PBEsol.

The space group is Pm-3m (No. 221) and the conventional cell measures 5.346, 5.346 and 5.346 Å, with angles of 90.00, 90.00 and 90.00 degrees. The inequivalent atoms are Hg at (0.000, 0.000, 0.000), Pd at (0.500, 0.500, 0.500) and Br at (0.000, 0.000, 0.500).

Its uncorrected formation energy is 0.46 eV per atom. The total energy is -0.072 Ha/atom.



2.
Here is a relaxed structure of Hg2PdBr from Alexandria via LeMat-Bulk. Energies are from GGA-PBEsol.

The space group is Fm-3m (No. 225) and the conventional cell measures 6.965, 6.965 and 6.965 Å, with angles of 90.00, 90.00 and 90.00 degrees. The inequivalent atoms are Hg at (0.250, 0.250, 0.250), Pd at (0.000, 0.000, 0.000) and Br at (0.000, 0.000, 0.500).

Its uncorrected formation energy is 0.30 eV per atom. The total energy is -0.071 Ha/atom.



3.
Here is a relaxed structure of Rb2Hg2PdBr8 from Alexandria via LeMat-Bulk. Energies are from GGA-PBEsol.

The space group is C2/m (No. 12) and the conventional cell measures 11.846, 7.104 and 10.088 Å, with angles of 90.00, 108.23 and 90.00 degrees. The inequivalent atoms are Rb at (0.104, 0.000, 0.330), Hg at (0.132, 0.500, 0.895), Pd at (0.000, 0.500, 0.500), Br at (0.089, 0.500, 0.195), Br at (0.133, 0.260, 0.637) and Br at (0.149, 0.000, 0.998).

Its uncorrected formation energy is -0.82 eV per atom. The total energy is -0.098 Ha/atom.



4.
Here is a relaxed structure of HgPtBr2 from Alexandria via LeMat-Bulk. Energies are from GGA-PBEsol.

The space group is Cm (No. 8) and the conventional cell measures 7.340, 3.587 and 8.576 Å, with angles of 90.00, 113.72 and 90.00 degrees. The inequivalent atoms are Hg at (0.000, 0.000, 0.000), Pt at (0.448, 0.000, 0.206), Br at (0.010, 0.500, 0.771) and Br at (0.444, 0.500, 0.393).

Its uncorrected formation energy is -0.03 eV per atom. The total energy is -0.105 Ha/atom.



5.
Here is a relaxed structure of HgPtBr from Alexandria via LeMat-Bulk. Energies are from GGA-PBEsol.

The space group is Fmm2 (No. 42) and the conventional cell measures 3.367, 5.733 and 12.839 Å, with angles of 90.00, 90.00 and 90.00 degrees. The inequivalent atoms are Hg at (0.000, 0.000, 0.000), Pt at (0.000, 0.000, 0.339) and Br at (0.000, 0.000, 0.684).

Its uncorrected formation energy is 0.31 eV per atom. The calculation puts the polymorph energy (0 for the lowest one) at 0.011 eV per atom. The total energy is -0.104 Ha/atom.



6.
Here is a relaxed structure of HgPtBr from Alexandria via LeMat-Bulk. Energies are from GGA-PBEsol.

The space group is F-43m (No. 216) and the conventional cell measures 6.445, 6.445 and 6.445 Å, with angles of 90.00, 90.00 and 90.00 degrees. The inequivalent atoms are Hg at (0.000, 0.000, 0.000), Pt at (0.250, 0.250, 0.250) and Br at (0.000, 0.000, 0.500).

Its uncorrected formation energy is 0.29 eV per atom. The calculation puts the polymorph energy (0 for the lowest one) at 0.000 eV per atom. The total energy is -0.104 Ha/atom.



7.
Here is a relaxed structure of Rb2HgSBr from Alexandria via LeMat-Bulk. Energies are from GGA-PBEsol.

The space group is P4/mmm (No. 123) and the conventional cell measures 6.605, 6.605 and 4.875 Å, with angles of 90.00, 90.00 and 90.00 degrees. The inequivalent atoms are Rb at (0.000, 0.500, 0.000), Hg at (0.000, 0.000, 0.000), S at (0.000, 0.000, 0.500) and Br at (0.500, 0.500, 0.500).

Its uncorrected formation energy is -0.75 eV per atom. The total energy is -0.093 Ha/atom.



8.
Here is a relaxed structure of Rb2TlHgBr6 from Alexandria via LeMat-Bulk. Energies are from GGA-PBEsol.

The space group is Fm-3m (No. 225) and the conventional cell measures 11.192, 11.192 and 11.192 Å, with angles of 90.00, 90.00 and 90.00 degrees. The inequivalent atoms are Rb at (0.250, 0.250, 0.250), Tl at (0.000, 0.000, 0.000), Hg at (0.000, 0.000, 0.500) and Br at (0.000, 0.000, 0.254).

Its uncorrected formation energy is -0.99 eV per atom. The total energy is -0.097 Ha/atom.